# Fe2OsAu (PBE, relaxed)
data_Fe2OsAu
_chemical_formula_sum 'Fe2 Os1 Au1'
_space_group_name_H-M_alt 'P 1'
_space_group_IT_number 1
_cell_length_a 2.7178
_cell_length_b 3.6450
_cell_length_c 5.6550
_cell_angle_alpha 90.00
_cell_angle_beta 90.00
_cell_angle_gamma 90.00
loop_
_space_group_symop_operation_xyz
'x,y,z'
loop_
_atom_site_label
_atom_site_fract_x
_atom_site_fract_y
_atom_site_fract_z
Au1 0.5000 0.5000 0.7615
Fe1 0.0000 0.0000 0.0250
Fe2 0.5000 0.5000 0.2602
Os1 0.0000 0.0000 0.4534
# **Density of states at the Fermi level**: 2.7 states/eV per cell
# **Total energy**: -7.562 eV/atom
# **Space group**: Pmm2
# **ρ**: 14.79 g/cm³
# **Spin magnetization**: 4.2 μB/cell

# Zr2ScRe (PBE, relaxed)
data_Zr2ScRe
_chemical_formula_sum 'Zr2 Sc1 Re1'
_space_group_name_H-M_alt 'P 1'
_space_group_IT_number 1
_cell_length_a 4.6327
_cell_length_b 3.0937
_cell_length_c 5.8020
_cell_angle_alpha 75.89
_cell_angle_beta 90.00
_cell_angle_gamma 90.00
loop_
_space_group_symop_operation_xyz
'x,y,z'
loop_
_atom_site_label
_atom_site_fract_x
_atom_site_fract_y
_atom_site_fract_z
Re1 0.0000 0.4995 0.4945
Sc1 0.5000 0.6763 0.7329
Zr1 0.0000 0.0044 0.9978
Zr2 0.5000 0.3198 0.2748
# **Density of states at the Fermi level**: 4.8 states/eV per cell
# **Total energy**: -8.967 eV/atom
# **Space group**: Pm
# **ρ**: 8.52 g/cm³
# **Spin magnetization**: 0.0 μB/cell

# PuIrRh4 (PBE, relaxed)
data_PuIrRh4
_chemical_formula_sum 'Pu2 Ir2 Rh8'
_space_group_name_H-M_alt 'P 1'
_space_group_IT_number 1
_cell_length_a 3.8895
_cell_length_b 6.6170
_cell_length_c 7.8708
_cell_angle_alpha 90.00
_cell_angle_beta 90.00
_cell_angle_gamma 90.00
loop_
_space_group_symop_operation_xyz
'x,y,z'
loop_
_atom_site_label
_atom_site_fract_x
_atom_site_fract_y
_atom_site_fract_z
Pu1 0.0000 0.6416 0.7500
Pu2 0.0000 0.3584 0.2500
Ir1 0.0000 0.2507 0.7500
Ir2 0.0000 0.7493 0.2500
Rh1 0.0000 0.0000 0.5000
Rh2 0.0000 0.0000 0.0000
Rh3 0.5000 0.9627 0.7500
Rh4 0.5000 0.0373 0.2500
Rh5 0.5000 0.7012 0.0320
Rh6 0.5000 0.2988 0.9680
Rh7 0.5000 0.7012 0.4680
Rh8 0.5000 0.2988 0.5320
# **Density of states at the Fermi level**: 30.5 states/eV per cell
# **Total energy**: -8.827 eV/atom
# **Space group**: Pmma
# **ρ**: 13.90 g/cm³
# **Spin magnetization**: 6.8 μB/cell

# CsNiAuS2 (PBE, relaxed)
data_CsNiAuS2
_chemical_formula_sum 'Cs2 Ni2 Au2 S4'
_space_group_name_H-M_alt 'P 1'
_space_group_IT_number 1
_cell_length_a 5.8859
_cell_length_b 6.9003
_cell_length_c 7.1814
_cell_angle_alpha 90.00
_cell_angle_beta 90.00
_cell_angle_gamma 115.25
loop_
_space_group_symop_operation_xyz
'x,y,z'
loop_
_atom_site_label
_atom_site_fract_x
_atom_site_fract_y
_atom_site_fract_z
Cs1 0.7500 0.5000 0.7692
Cs2 0.2500 0.5000 0.2308
Ni1 0.7500 0.0000 0.0000
Ni2 0.2500 0.0000 0.0000
Au1 0.0000 0.0000 0.5000
Au2 0.5000 0.0000 0.5000
S1 0.9280 0.8559 0.1941
S2 0.5720 0.1441 0.1941
S3 0.4280 0.8559 0.8059
S4 0.0720 0.1441 0.8059
# **Density of states at the Fermi level**: 4.3 states/eV per cell
# **Space group**: Cmme
# **ρ**: 5.70 g/cm³
# **Spin magnetization**: 0.0 μB/cell
# **Formation energy (no corrections)**: -555 meV/atom

# BeTl2InTe4 (PBE, relaxed)
data_BeTl2InTe4
_chemical_formula_sum 'Be1 Tl2 In1 Te4'
_space_group_name_H-M_alt 'P 1'
_space_group_IT_number 1
_cell_length_a 7.3429
_cell_length_b 7.3961
_cell_length_c 6.9751
_cell_angle_alpha 116.21
_cell_angle_beta 116.01
_cell_angle_gamma 99.51
loop_
_space_group_symop_operation_xyz
'x,y,z'
loop_
_atom_site_label
_atom_site_fract_x
_atom_site_fract_y
_atom_site_fract_z
Be1 0.9955 0.4953 0.9901
Tl1 0.4085 0.9080 0.8134
Tl2 0.2074 0.2076 0.4172
In1 0.7406 0.7413 0.4821
Te1 0.7114 0.6155 0.8037
Te2 0.8736 0.4192 0.2319
Te3 0.3575 0.8126 0.2286
Te4 0.0926 0.1876 0.8070
# **Density of states at the Fermi level**: 4.8 states/eV per cell
# **Space group**: P1
# **ρ**: 6.33 g/cm³
# **Spin magnetization**: 0.0 μB/cell
# **Formation energy (no corrections)**: -235 meV/atom

# PuZnPt (PBE, relaxed)
data_PuZnPt
_chemical_formula_sum 'Pu1 Zn1 Pt1'
_space_group_name_H-M_alt 'P 1'
_space_group_IT_number 1
_cell_length_a 2.9751
_cell_length_b 4.7022
_cell_length_c 4.7022
_cell_angle_alpha 120.00
_cell_angle_beta 90.00
_cell_angle_gamma 90.00
loop_
_space_group_symop_operation_xyz
'x,y,z'
loop_
_atom_site_label
_atom_site_fract_x
_atom_site_fract_y
_atom_site_fract_z
Zn1 0.1667 0.3333 0.6667
Pt1 0.1666 0.0000 0.0000
Pu1 0.6667 0.6667 0.3333
# **Density of states at the Fermi level**: 8.9 states/eV per cell
# **Total energy**: -7.765 eV/atom
# **Space group**: P-6m2
# **ρ**: 14.70 g/cm³
# **Spin magnetization**: 5.5 μB/cell

# Rb2SnBF6 (PBE, relaxed)
data_Rb2SnBF6
_chemical_formula_sum 'Rb2 Sn1 B1 F6'
_space_group_name_H-M_alt 'P 1'
_space_group_IT_number 1
_cell_length_a 6.3144
_cell_length_b 6.3144
_cell_length_c 6.3184
_cell_angle_alpha 60.02
_cell_angle_beta 60.02
_cell_angle_gamma 90.00
loop_
_space_group_symop_operation_xyz
'x,y,z'
loop_
_atom_site_label
_atom_site_fract_x
_atom_site_fract_y
_atom_site_fract_z
B1 0.5000 0.5000 0.0000
Sn1 0.0000 0.0000 0.0000
Rb1 0.7500 0.2500 0.5000
Rb2 0.2500 0.7500 0.5000
F1 0.2561 0.2561 0.4878
F2 0.7439 0.7439 0.5122
F3 0.3287 0.3287 0.0000
F4 0.6713 0.6713 0.0000
F5 0.6713 0.3287 0.0000
F6 0.3287 0.6713 0.0000
# **Density of states at the Fermi level**: 3.8 states/eV per cell
# **Space group**: I4/mmm
# **ρ**: 3.86 g/cm³
# **Spin magnetization**: 1.0 μB/cell
# **Formation energy (no corrections)**: -2147 meV/atom

# MgIrPd3 (PBE, relaxed)
data_MgIrPd3
_chemical_formula_sum 'Mg1 Ir1 Pd3'
_space_group_name_H-M_alt 'P 1'
_space_group_IT_number 1
_cell_length_a 4.8542
_cell_length_b 4.8542
_cell_length_c 4.8542
_cell_angle_alpha 90.00
_cell_angle_beta 90.00
_cell_angle_gamma 90.00
loop_
_space_group_symop_operation_xyz
'x,y,z'
loop_
_atom_site_label
_atom_site_fract_x
_atom_site_fract_y
_atom_site_fract_z
Mg1 0.5000 0.5000 0.5000
Ir1 0.0000 0.0000 0.0000
Pd1 0.0000 0.5000 0.0000
Pd2 0.0000 0.0000 0.5000
Pd3 0.5000 0.0000 0.0000
# **Density of states at the Fermi level**: 7.6 states/eV per cell
# **Total energy**: -4.377 eV/atom
# **Space group**: Pm-3m
# **ρ**: 7.78 g/cm³
# **Spin magnetization**: 1.3 μB/cell

# Ho5MgTl2 (PBE, relaxed)
data_Ho5MgTl2
_chemical_formula_sum 'Ho10 Mg2 Tl4'
_space_group_name_H-M_alt 'P 1'
_space_group_IT_number 1
_cell_length_a 4.6399
_cell_length_b 6.0894
_cell_length_c 17.2287
_cell_angle_alpha 90.00
_cell_angle_beta 90.00
_cell_angle_gamma 112.39
loop_
_space_group_symop_operation_xyz
'x,y,z'
loop_
_atom_site_label
_atom_site_fract_x
_atom_site_fract_y
_atom_site_fract_z
Ho1 0.9559 0.9117 0.9014
Ho2 0.9559 0.9117 0.5986
Ho3 0.3470 0.6940 0.4605
Ho4 0.3470 0.6940 0.0395
Ho5 0.4667 0.9333 0.2500
Ho6 0.5333 0.0667 0.7500
Ho7 0.6530 0.3060 0.5395
Ho8 0.6530 0.3060 0.9605
Ho9 0.0441 0.0883 0.0986
Ho10 0.0441 0.0883 0.4014
Mg1 0.8146 0.6292 0.7500
Mg2 0.1854 0.3708 0.2500
Tl1 0.7590 0.5180 0.3487
Tl2 0.7590 0.5180 0.1513
Tl3 0.2410 0.4820 0.6513
Tl4 0.2410 0.4820 0.8487
# **Density of states at the Fermi level**: 17.3 states/eV per cell
# **Total energy**: -3.749 eV/atom
# **Space group**: Cmcm
# **ρ**: 9.28 g/cm³
# **Spin magnetization**: 0.0 μB/cell

# ZnBIr2 (PBE, relaxed)
data_ZnBIr2
_chemical_formula_sum 'Zn1 B1 Ir2'
_space_group_name_H-M_alt 'P 1'
_space_group_IT_number 1
_cell_length_a 3.8118
_cell_length_b 3.8118
_cell_length_c 4.5780
_cell_angle_alpha 65.40
_cell_angle_beta 65.40
_cell_angle_gamma 60.00
loop_
_space_group_symop_operation_xyz
'x,y,z'
loop_
_atom_site_label
_atom_site_fract_x
_atom_site_fract_y
_atom_site_fract_z
Zn1 0.0000 0.0000 0.0000
Ir1 0.7657 0.7657 0.7029
Ir2 0.2343 0.2343 0.2971
B1 0.5000 0.5000 0.5000
# **Density of states at the Fermi level**: 1.3 states/eV per cell
# **Total energy**: -6.257 eV/atom
# **Space group**: R-3m
# **ρ**: 15.14 g/cm³
# **Spin magnetization**: 0.0 μB/cell

# Rb4Zr2Tc (PBE, relaxed)
data_Rb4Zr2Tc
_chemical_formula_sum 'Rb4 Zr2 Tc1'
_space_group_name_H-M_alt 'P 1'
_space_group_IT_number 1
_cell_length_a 7.1198
_cell_length_b 7.1198
_cell_length_c 10.0047
_cell_angle_alpha 69.16
_cell_angle_beta 69.16
_cell_angle_gamma 90.00
loop_
_space_group_symop_operation_xyz
'x,y,z'
loop_
_atom_site_label
_atom_site_fract_x
_atom_site_fract_y
_atom_site_fract_z
Rb1 0.8002 0.8002 0.3997
Rb2 0.1998 0.1998 0.6003
Rb3 0.0000 0.5000 0.0000
Rb4 0.5000 0.0000 0.0000
Tc1 0.0000 0.0000 0.0000
Zr1 0.5688 0.5688 0.8623
Zr2 0.4312 0.4312 0.1377
# **Density of states at the Fermi level**: 10.6 states/eV per cell
# **Total energy**: -2.829 eV/atom
# **Space group**: I4/mmm
# **ρ**: 2.36 g/cm³
# **Spin magnetization**: 0.7 μB/cell

# YCuW3 (PBE, relaxed)
data_YCuW3
_chemical_formula_sum 'Y1 Cu1 W3'
_space_group_name_H-M_alt 'P 1'
_space_group_IT_number 1
_cell_length_a 4.8006
_cell_length_b 4.8006
_cell_length_c 4.8006
_cell_angle_alpha 90.00
_cell_angle_beta 90.00
_cell_angle_gamma 90.00
loop_
_space_group_symop_operation_xyz
'x,y,z'
loop_
_atom_site_label
_atom_site_fract_x
_atom_site_fract_y
_atom_site_fract_z
Y1 0.0000 0.0000 0.0000
Cu1 0.5000 0.5000 0.5000
W1 0.0000 0.5000 0.0000
W2 0.0000 0.0000 0.5000
W3 0.5000 0.0000 0.0000
# **Density of states at the Fermi level**: 5.4 states/eV per cell
# **Total energy**: -6.663 eV/atom
# **Space group**: Pm-3m
# **ρ**: 10.57 g/cm³
# **Spin magnetization**: 0.0 μB/cell